Computed, not measured: a crystal of BeNi3F relaxed with PBEsol at the SCAN level of DFT.

The structure in CIF format:
```
data_BeNi3F
_symmetry_space_group_name_H-M 'P m -3 m'
_symmetry_Int_Tables_number 221
_symmetry_space_group_name_Hall '-P 4 2 3'
_cell_length_a 3.868
_cell_length_b 3.868
_cell_length_c 3.868
_cell_angle_alpha 90.00
_cell_angle_beta 90.00
_cell_angle_gamma 90.00
loop_
_atom_site_label
_atom_site_type_symbol
_atom_site_fract_x
_atom_site_fract_y
_atom_site_fract_z
Be1 Be 0.000 0.000 0.000
Ni1 Ni 0.000 0.000 0.500
F1 F 0.500 0.500 0.500
```

Calculated values
The value obtained for the formation energy from raw total energies is 0.489 eV per atom. As for the density: 5855 kg/m3. As for the size of the total moment: 1.57 μB per formula unit. The density of states at the Fermi level comes out at 3.47 states/eV/cell. The uncorrected energy comes out at -10.793 eV per atom.



Computed, not measured: a crystal of ErCo12B6 relaxed with PBEsol at the SCAN level of DFT.

The structure in CIF format:
```
data_ErCo12B6
_symmetry_space_group_name_H-M 'R -3 m'
_symmetry_Int_Tables_number 166
_symmetry_space_group_name_Hall '-R 3 2"'
_cell_length_a 9.2542
_cell_length_b 9.2542
_cell_length_c 7.2930
_cell_angle_alpha 90.00
_cell_angle_beta 90.00
_cell_angle_gamma 120.00
loop_
_atom_site_label
_atom_site_type_symbol
_atom_site_fract_x
_atom_site_fract_y
_atom_site_fract_z
Er1 Er 0.0000 0.0000 0.0000
Co1 Co 0.0000 0.3681 0.5000
Co2 Co 0.0897 0.1793 0.3650
B1 B 0.0353 0.5177 0.2840
```

Calculated values
The value obtained for the formation energy from the elements is -261 meV/atom. As for the density: 8651 kg/m3. As for the size of the total moment: 8.83 μB per formula unit. The density of states at the Fermi level comes out at 36.95 states/eV/cell. The uncorrected energy comes out at -16.185 eV per atom.



Computed, not measured: a crystal of MnBe2As relaxed with PBEsol at the SCAN level of DFT.

The structure in CIF format:
```
data_MnBe2As
_symmetry_space_group_name_H-M 'P 4 m m'
_symmetry_Int_Tables_number 99
_symmetry_space_group_name_Hall 'P 4 -2'
_cell_length_a 2.592
_cell_length_b 2.592
_cell_length_c 7.579
_cell_angle_alpha 90.00
_cell_angle_beta 90.00
_cell_angle_gamma 90.00
loop_
_atom_site_label
_atom_site_type_symbol
_atom_site_fract_x
_atom_site_fract_y
_atom_site_fract_z
Mn1 Mn 0.000 0.000 0.000
Be1 Be 0.000 0.000 0.652
Be2 Be 0.500 0.500 0.802
As1 As 0.500 0.500 0.241
```

Calculated values
The value obtained for the formation energy from the elements is 178 meV/atom. As for the density: 4823 kg/m3. As for the size of the total moment: 2.62 μB per formula unit. The density of states at the Fermi level comes out at 2.06 states/eV/cell. The uncorrected energy comes out at -11.611 eV per atom.



Computed, not measured: a crystal of MnTcAg3 relaxed with PBEsol at the SCAN level of DFT.

The structure in CIF format:
```
data_MnTcAg3
_symmetry_space_group_name_H-M 'P m -3 m'
_symmetry_Int_Tables_number 221
_symmetry_space_group_name_Hall '-P 4 2 3'
_cell_length_a 4.683
_cell_length_b 4.683
_cell_length_c 4.683
_cell_angle_alpha 90.00
_cell_angle_beta 90.00
_cell_angle_gamma 90.00
loop_
_atom_site_label
_atom_site_type_symbol
_atom_site_fract_x
_atom_site_fract_y
_atom_site_fract_z
Mn1 Mn 0.000 0.000 0.000
Tc1 Tc 0.500 0.500 0.500
Ag1 Ag 0.000 0.000 0.500
```

Calculated values
The value obtained for the formation energy from the elements is 1363 meV/atom. As for the density: 7703 kg/m3. As for the size of the total moment: 8.13 μB per formula unit. The density of states at the Fermi level comes out at 2.97 states/eV/cell. The uncorrected energy comes out at -28.121 eV per atom.



Computed, not measured: a crystal of Cs3KMg relaxed with PBEsol at the SCAN level of DFT.

The structure in CIF format:
```
data_Cs3KMg
_symmetry_space_group_name_H-M 'P m -3 m'
_symmetry_Int_Tables_number 221
_symmetry_space_group_name_Hall '-P 4 2 3'
_cell_length_a 7.673
_cell_length_b 7.673
_cell_length_c 7.673
_cell_angle_alpha 90.00
_cell_angle_beta 90.00
_cell_angle_gamma 90.00
loop_
_atom_site_label
_atom_site_type_symbol
_atom_site_fract_x
_atom_site_fract_y
_atom_site_fract_z
Cs1 Cs 0.000 0.000 0.500
K1 K 0.500 0.500 0.500
Mg1 Mg 0.000 0.000 0.000
```

Calculated values
The value obtained for the formation energy from the elements is 197 meV/atom. As for the density: 1699 kg/m3. As for the size of the total moment: 0.00 μB per formula unit. The density of states at the Fermi level comes out at 5.91 states/eV/cell. The uncorrected energy comes out at -25.150 eV per atom.



Computed, not measured: a crystal of NaCrW2O8 relaxed with PBEsol at the SCAN level of DFT.

The structure in CIF format:
```
data_NaCrW2O8
_symmetry_space_group_name_H-M 'P 1 2/c 1'
_symmetry_Int_Tables_number 13
_symmetry_space_group_name_Hall '-P 2yc'
_cell_length_a 9.808
_cell_length_b 5.715
_cell_length_c 4.945
_cell_angle_alpha 90.00
_cell_angle_beta 90.06
_cell_angle_gamma 90.00
loop_
_atom_site_label
_atom_site_type_symbol
_atom_site_fract_x
_atom_site_fract_y
_atom_site_fract_z
Na1 Na 0.000 0.191 0.250
Cr1 Cr 0.500 0.149 0.250
W1 W 0.268 0.319 0.738
O1 O 0.149 0.119 0.617
O2 O 0.173 0.411 0.050
O3 O 0.379 0.375 0.417
O4 O 0.395 0.119 0.913
```

Calculated values
The value obtained for the formation energy from raw total energies is -2.349 eV per atom. As for the density: 6838 kg/m3. As for the size of the total moment: 3.00 μB per formula unit. The density of states at the Fermi level comes out at 0.00 states/eV/cell. The uncorrected energy comes out at -20.001 eV per atom.